The following is a DFT calculation (PBE+U) of Er2CrSbO7 after structural relaxation.

Cell: 7.2382 7.2382 7.2382 Å, 120.25 119.43 90.28°
With the nearest neighbours (Å) after each atom.
Atoms (fractional coordinates):
Cr 0.0000 0.0000 0.5000  6 O 2.03-2.04
Cr 0.0000 0.5000 0.0000  6 O 2.03-2.04
O 0.9078 0.1578 0.7500  2 Cr 2.03
O 0.9092 0.5803 0.7422  1 Sb 1.99, 1 Cr 2.04
O 0.6619 0.4197 0.8288  1 Sb 1.99, 1 Cr 2.04
O 0.3325 0.5825 0.7500  2 Sb 2.01
O 0.6675 0.4175 0.2500  2 Sb 2.01
O 0.9092 0.1670 0.3288  1 Sb 1.99, 1 Cr 2.04
O 0.0908 0.8330 0.6712  1 Sb 1.99, 1 Cr 2.04
O 0.3778 0.1278 0.2500  4 Er 2.19-2.24
O 0.0922 0.8422 0.2500  2 Cr 2.03
O 0.6619 0.8330 0.2422  1 Sb 1.99, 1 Cr 2.04
O 0.0908 0.4197 0.2578  1 Sb 1.99, 1 Cr 2.04
O 0.3381 0.5803 0.1712  1 Sb 1.99, 1 Cr 2.04
O 0.3381 0.1670 0.7578  1 Sb 1.99, 1 Cr 2.04
O 0.6222 0.8722 0.7500  4 Er 2.19-2.24
Sb 0.5000 0.5000 0.0000  6 O 1.99-2.01
Sb 0.0000 0.5000 0.5000  6 O 1.99-2.01
Er 0.5000 0.0000 0.0000  2 O 2.19
Er 0.5000 0.5000 0.5000  2 O 2.19
Er 0.0000 0.0000 0.0000  8 O 2.24-2.49
Er 0.5000 0.0000 0.5000  8 O 2.24-2.49

total energy	-84.29	eV per formula unit
V	269	Å³/cell